1.
{"formula": "CaSiIO2", "functional": "GGA-PBE", "state": "relaxed", "de_polymorph_mev_per_atom": 776, "formation_energy_uncorrected_kj_per_mol_atoms": -18.43, "lattice_angstrom": [[4.361, 0.000, 0.000], [0.000, 4.361, 0.000], [0.000, 0.000, 6.069]], "species": ["Si", "O", "Ca", "I", "O"], "frac_coords": [[0.500, 0.500, 0.500], [0.000, 0.500, 0.000], [0.000, 0.000, 0.000], [0.000, 0.000, 0.500], [0.500, 0.000, 0.000]]}

2.
{"formula": "TcNiIr2C", "functional": "GGA-PBE", "state": "relaxed", "formation_enthalpy_0k_ev_per_fu": 9.82, "lattice_angstrom": [[-4.278, -0.373, -2.019], [-0.472, -3.446, 1.637], [-1.969, 2.069, 3.789]], "species": ["Ir", "C", "Ir", "Tc", "Ni"], "frac_coords": [[0.500, 0.000, 0.000], [0.000, 0.500, 0.000], [0.000, 0.000, 0.500], [0.000, 0.000, 0.000], [0.500, 0.500, 0.500]]}

3.
{"formula": "BaYW", "functional": "GGA-PBE", "state": "relaxed", "formation_enthalpy_0k_ev_per_fu": 4.12, "de_polymorph_mev_per_atom": 445, "lattice_angstrom": [[5.150, 0.000, 0.000], [2.575, 4.460, 0.000], [2.575, 1.487, 4.205]], "species": ["Y", "W", "Ba"], "frac_coords": [[0.000, 0.000, 0.000], [0.750, 0.750, 0.750], [0.500, 0.500, 0.500]]}

4.
{"formula": "SnRu3Pt", "functional": "GGA-PBE", "state": "relaxed", "formation_enthalpy_0k_ev_per_fu": 8.03, "de_polymorph_mev_per_atom": 0, "lattice_angstrom": [[-0.504, 4.026, 2.518], [-4.216, -1.545, 1.626], [2.186, -2.052, 3.718]], "species": ["Ru", "Pt", "Ru", "Sn", "Ru"], "frac_coords": [[0.000, 0.500, 0.000], [0.000, 0.000, 0.000], [0.500, 0.000, 0.000], [0.500, 0.500, 0.500], [0.000, 0.000, 0.500]]}

What did the first record say?
{"formula": "CaSiIO2", "functional": "GGA-PBE", "state": "relaxed", "de_polymorph_mev_per_atom": 776, "formation_energy_uncorrected_kj_per_mol_atoms": -18.43, "lattice_angstrom": [[4.361, 0.000, 0.000], [0.000, 4.361, 0.000], [0.000, 0.000, 6.069]], "species": ["Si", "O", "Ca", "I", "O"], "frac_coords": [[0.500, 0.500, 0.500], [0.000, 0.500, 0.000], [0.000, 0.000, 0.000], [0.000, 0.000, 0.500], [0.500, 0.000, 0.000]]}